VASP calculation (PBE) on SrLi2MgHg2 after structural relaxation.

Cell: 4.748 4.748 7.450 Å, 90.00 90.00 120.00°
Element x y z (fractional)
Sr  0.000  0.000  0.000
Li  0.333  0.667  0.673
Li  0.667  0.333  0.327
Mg  0.000  0.000  0.500
Hg  0.333  0.667  0.294
Hg  0.667  0.333  0.706

Values from the calculation:
Its energy relative to the elements is -0.359 eV per atom. The energy comes out at -1.6436 eV/atom. Its density of states at the Fermi level is 3.778 states/eV per cell.

VASP calculation (PBE) on SrLiMgHg3 after structural relaxation.

Cell: 6.936 6.806 7.433 Å, 117.24 90.00 90.00°
Element x y z (fractional)
Sr  0.750  0.300  0.600
Sr  0.250  0.700  0.400
Li  0.250  0.943  0.886
Li  0.750  0.057  0.114
Mg  0.250  0.369  0.739
Mg  0.750  0.631  0.261
Hg  0.250  0.159  0.319
Hg  0.000  0.270  0.000
Hg  0.500  0.730  0.000
Hg  0.500  0.270  0.000
Hg  0.000  0.730  0.000
Hg  0.750  0.841  0.681

Values from the calculation:
Its energy relative to the elements is -0.259 eV per atom. The energy comes out at -1.2753 eV/atom. Its density of states at the Fermi level is 5.956 states/eV per cell.

VASP calculation (PBE) on Sr2Li3Mg12Hg after structural relaxation.

Cell: 7.930 7.930 7.930 Å, 84.62 84.62 84.62°
Element x y z (fractional)
Sr  0.640  0.640  0.640
Sr  0.360  0.360  0.360
Li  0.500  0.000  0.000
Li  0.000  0.500  0.000
Li  0.000  0.000  0.500
Mg  0.391  0.391  0.912
Mg  0.813  0.813  0.275
Mg  0.275  0.813  0.813
Mg  0.912  0.391  0.391
Mg  0.813  0.275  0.813
Mg  0.391  0.912  0.391
Mg  0.609  0.609  0.088
Mg  0.187  0.187  0.725
Mg  0.725  0.187  0.187
Mg  0.088  0.609  0.609
Mg  0.187  0.725  0.187
Mg  0.609  0.088  0.609
Hg  0.000  0.000  0.000

Values from the calculation:
Its energy relative to the elements is 0.093 eV per atom. The energy comes out at -1.4922 eV/atom. Its density of states at the Fermi level is 7.934 states/eV per cell.

VASP calculation (PBE) on Sr2LiMgHg2 after structural relaxation.

Cell: 6.543 6.569 9.468 Å, 110.30 110.21 90.00°
Element x y z (fractional)
Sr  0.417  0.172  0.344
Sr  0.583  0.828  0.656
Sr  0.072  0.328  0.656
Sr  0.928  0.672  0.344
Li  0.000  0.750  0.000
Li  0.000  0.250  0.000
Mg  0.500  0.750  0.000
Mg  0.500  0.250  0.000
Hg  0.861  0.113  0.225
Hg  0.365  0.613  0.225
Hg  0.635  0.387  0.775
Hg  0.139  0.887  0.775

Values from the calculation:
Its energy relative to the elements is -0.387 eV per atom. The energy comes out at -1.6334 eV/atom. Its density of states at the Fermi level is 9.865 states/eV per cell.

VASP calculation (PBE) on SrLiMgHg after structural relaxation.

Cell: 4.913 4.917 6.117 Å, 113.57 90.00 119.97°
Element x y z (fractional)
Sr  0.621  0.242  0.504
Li  0.820  0.640  0.102
Mg  0.109  0.219  0.970
Hg  0.416  0.832  0.891

Values from the calculation:
Its energy relative to the elements is -0.260 eV per atom. The energy comes out at -1.6334 eV/atom. Its density of states at the Fermi level is 3.560 states/eV per cell.

VASP calculation (PBE) on SrLiMg2Hg5 after structural relaxation.

Cell: 4.983 6.519 8.370 Å, 112.92 107.32 90.00°
Element x y z (fractional)
Sr  0.000  0.500  0.000
Li  0.500  0.000  0.000
Mg  0.188  0.188  0.377
Mg  0.812  0.812  0.623
Hg  0.650  0.893  0.299
Hg  0.350  0.107  0.701
Hg  0.350  0.593  0.701
Hg  0.650  0.407  0.299
Hg  0.000  0.000  0.000

Values from the calculation:
Its energy relative to the elements is -0.216 eV per atom. The energy comes out at -1.1380 eV/atom. Its density of states at the Fermi level is 4.632 states/eV per cell.

VASP calculation (PBE) on Sr2Li12Mg3Hg after structural relaxation.

Cell: 14.143 14.143 14.143 Å, 25.36 25.36 25.36°
Element x y z (fractional)
Sr  0.647  0.647  0.647
Sr  0.353  0.353  0.353
Li  0.398  0.398  0.873
Li  0.900  0.900  0.373
Li  0.373  0.900  0.900
Li  0.873  0.398  0.398
Li  0.900  0.373  0.900
Li  0.398  0.873  0.398
Li  0.602  0.602  0.127
Li  0.100  0.100  0.627
Li  0.627  0.100  0.100
Li  0.127  0.602  0.602
Li  0.100  0.627  0.100
Li  0.602  0.127  0.602
Mg  0.500  0.000  0.000
Mg  0.000  0.500  0.000
Mg  0.000  0.000  0.500
Hg  0.000  0.000  0.000

Values from the calculation:
Its energy relative to the elements is 0.053 eV per atom. The energy comes out at -1.6927 eV/atom. Its density of states at the Fermi level is 12.542 states/eV per cell.

VASP calculation (PBE) on Sr3Li2Mg2Hg4 after structural relaxation.

Cell: 4.876 4.876 15.833 Å, 90.00 90.00 120.00°
Element x y z (fractional)
Sr  0.000  0.000  0.728
Sr  0.000  0.000  0.000
Sr  0.000  0.000  0.272
Li  0.667  0.333  0.860
Li  0.333  0.667  0.140
Mg  0.667  0.333  0.437
Mg  0.333  0.667  0.563
Hg  0.667  0.333  0.132
Hg  0.333  0.667  0.868
Hg  0.667  0.333  0.617
Hg  0.333  0.667  0.383

Values from the calculation:
Its energy relative to the elements is -0.308 eV per atom. The energy comes out at -1.5145 eV/atom. Its density of states at the Fermi level is 7.497 states/eV per cell.

VASP calculation (PBE) on Sr2Li3MgHg4 after structural relaxation.

Cell: 4.712 4.712 11.478 Å, 90.00 90.00 90.00°
Element x y z (fractional)
Sr  0.500  0.000  0.243
Sr  0.000  0.500  0.757
Li  0.000  0.000  0.500
Li  0.500  0.000  0.879
Li  0.000  0.500  0.121
Mg  0.500  0.500  0.500
Hg  0.500  0.500  0.000
Hg  0.000  0.000  0.000
Hg  0.500  0.000  0.645
Hg  0.000  0.500  0.355

Values from the calculation:
Its energy relative to the elements is -0.371 eV per atom. The energy comes out at -1.5618 eV/atom. Its density of states at the Fermi level is 5.603 states/eV per cell.

VASP calculation (PBE) on LiTbMgHg after structural relaxation.

Cell: 4.992 4.992 4.992 Å, 60.00 60.00 60.00°
Element x y z (fractional)
Mg  0.750  0.750  0.750
Tb  0.250  0.250  0.250
Hg  0.500  0.500  0.500
Li  0.000  0.000  0.000

Values from the calculation:
Its energy relative to the elements is -0.323 eV per atom. The energy comes out at -2.4333 eV/atom. Its density of states at the Fermi level is 1.775 states/eV per cell.

VASP calculation (PBE) on LiTb2MgHg4 after structural relaxation.

Cell: 5.057 5.057 8.759 Å, 73.22 73.22 60.00°
Element x y z (fractional)
Li  0.500  0.500  0.500
Tb  0.749  0.749  0.753
Tb  0.251  0.251  0.247
Mg  0.000  0.000  0.000
Hg  0.378  0.378  0.867
Hg  0.873  0.873  0.381
Hg  0.127  0.127  0.619
Hg  0.622  0.622  0.133

Values from the calculation:
Its energy relative to the elements is -0.464 eV per atom. The energy comes out at -2.2111 eV/atom. Its density of states at the Fermi level is 3.066 states/eV per cell.

VASP calculation (PBE) on Li2TbMgHg2 after structural relaxation.

Cell: 4.717 4.717 6.637 Å, 90.00 90.00 120.00°
Element x y z (fractional)
Li  0.333  0.667  0.684
Li  0.667  0.333  0.316
Tb  0.000  0.000  0.000
Mg  0.000  0.000  0.500
Hg  0.333  0.667  0.248
Hg  0.667  0.333  0.752

Values from the calculation:
Its energy relative to the elements is -0.333 eV per atom. The energy comes out at -2.1092 eV/atom. Its density of states at the Fermi level is 4.363 states/eV per cell.

VASP calculation (PBE) on LiMg2Tl2Hg5 after structural relaxation.

Cell: 3.374 12.077 12.077 Å, 90.00 90.00 90.00°
Element x y z (fractional)
Li  0.000  0.000  0.000
Li  0.000  0.500  0.500
Mg  0.000  0.140  0.640
Mg  0.000  0.860  0.360
Mg  0.000  0.640  0.860
Mg  0.000  0.360  0.140
Tl  0.000  0.670  0.170
Tl  0.000  0.330  0.830
Tl  0.000  0.170  0.330
Tl  0.000  0.830  0.670
Hg  0.500  0.184  0.044
Hg  0.500  0.816  0.956
Hg  0.500  0.044  0.816
Hg  0.500  0.684  0.456
Hg  0.500  0.956  0.184
Hg  0.500  0.316  0.544
Hg  0.500  0.544  0.684
Hg  0.500  0.456  0.316
Hg  0.500  0.500  0.000
Hg  0.500  0.000  0.500

Values from the calculation:
Its energy relative to the elements is -0.132 eV per atom. The energy comes out at -1.2669 eV/atom. Its density of states at the Fermi level is 8.679 states/eV per cell.

VASP calculation (PBE) on Li2MgTl2Hg5 after structural relaxation.

Cell: 3.829 11.114 11.114 Å, 90.00 90.00 90.00°
Element x y z (fractional)
Li  0.000  0.128  0.628
Li  0.000  0.872  0.372
Li  0.000  0.628  0.872
Li  0.000  0.372  0.128
Mg  0.000  0.000  0.000
Mg  0.000  0.500  0.500
Tl  0.000  0.677  0.177
Tl  0.000  0.323  0.823
Tl  0.000  0.177  0.323
Tl  0.000  0.823  0.677
Hg  0.500  0.201  0.058
Hg  0.500  0.799  0.942
Hg  0.500  0.058  0.799
Hg  0.500  0.701  0.442
Hg  0.500  0.942  0.201
Hg  0.500  0.299  0.558
Hg  0.500  0.558  0.701
Hg  0.500  0.442  0.299
Hg  0.500  0.500  0.000
Hg  0.500  0.000  0.500

Values from the calculation:
Its energy relative to the elements is -0.156 eV per atom. The energy comes out at -1.3219 eV/atom. Its density of states at the Fermi level is 7.556 states/eV per cell.

VASP calculation (PBE) on Li3Mg3Tl2Hg after structural relaxation.

Cell: 3.350 8.212 8.212 Å, 120.00 90.00 90.00°
Element x y z (fractional)
Li  0.000  0.630  0.630
Li  0.000  0.000  0.370
Li  0.000  0.370  0.000
Mg  0.500  0.713  0.000
Mg  0.500  0.000  0.713
Mg  0.500  0.287  0.287
Tl  0.500  0.667  0.333
Tl  0.500  0.333  0.667
Hg  0.000  0.000  0.000

Values from the calculation:
Its energy relative to the elements is -0.193 eV per atom. The energy comes out at -1.9215 eV/atom. Its density of states at the Fermi level is 4.104 states/eV per cell.

VASP calculation (PBE) on Li3Mg3TlHg2 after structural relaxation.

Cell: 3.298 8.044 8.044 Å, 120.00 90.00 90.00°
Element x y z (fractional)
Li  0.500  0.704  0.000
Li  0.500  0.000  0.704
Li  0.500  0.296  0.296
Mg  0.000  0.625  0.625
Mg  0.000  0.000  0.375
Mg  0.000  0.375  0.000
Tl  0.000  0.000  0.000
Hg  0.500  0.667  0.333
Hg  0.500  0.333  0.667

Values from the calculation:
Its energy relative to the elements is -0.229 eV per atom. The energy comes out at -1.7284 eV/atom. Its density of states at the Fermi level is 3.394 states/eV per cell.

VASP calculation (PBE) on Li2MgTlHg4 after structural relaxation.

Cell: 4.998 4.998 8.670 Å, 73.25 73.25 60.00°
Element x y z (fractional)
Li  0.747  0.747  0.758
Li  0.253  0.253  0.242
Mg  0.500  0.500  0.500
Tl  0.000  0.000  0.000
Hg  0.383  0.383  0.851
Hg  0.866  0.866  0.402
Hg  0.134  0.134  0.598
Hg  0.617  0.617  0.149

Values from the calculation:
Its energy relative to the elements is -0.220 eV per atom. The energy comes out at -1.3445 eV/atom. Its density of states at the Fermi level is 3.466 states/eV per cell.

VASP calculation (PBE) on LiMgTlHg2 after structural relaxation.

Cell: 3.612 6.702 10.274 Å, 90.00 90.00 105.63°
Element x y z (fractional)
Li  0.000  0.000  0.500
Li  0.000  0.000  0.000
Mg  0.156  0.312  0.750
Mg  0.844  0.688  0.250
Tl  0.881  0.763  0.750
Tl  0.119  0.237  0.250
Hg  0.655  0.310  0.527
Hg  0.345  0.690  0.473
Hg  0.345  0.690  0.027
Hg  0.655  0.310  0.973

Values from the calculation:
Its energy relative to the elements is -0.123 eV per atom. The energy comes out at -1.4182 eV/atom. Its density of states at the Fermi level is 3.174 states/eV per cell.

VASP calculation (PBE) on Li2MgTlHg after structural relaxation.

Cell: 3.741 8.412 6.749 Å, 90.00 90.00 102.85°
Element x y z (fractional)
Li  0.190  0.380  0.037
Li  0.810  0.620  0.963
Li  0.190  0.380  0.463
Li  0.810  0.620  0.537
Mg  0.000  0.000  0.000
Mg  0.000  0.000  0.500
Tl  0.628  0.256  0.750
Tl  0.372  0.744  0.250
Hg  0.400  0.799  0.750
Hg  0.600  0.201  0.250

Values from the calculation:
Its energy relative to the elements is -0.187 eV per atom. The energy comes out at -1.8048 eV/atom. Its density of states at the Fermi level is 2.416 states/eV per cell.

VASP calculation (PBE) on LiTm2MgHg4 after structural relaxation.

Cell: 5.001 5.001 8.669 Å, 73.24 73.24 60.00°
Element x y z (fractional)
Li  0.500  0.500  0.500
Tm  0.749  0.749  0.752
Tm  0.251  0.251  0.248
Mg  0.000  0.000  0.000
Hg  0.378  0.378  0.867
Hg  0.873  0.873  0.381
Hg  0.127  0.127  0.619
Hg  0.622  0.622  0.133

Values from the calculation:
Its energy relative to the elements is -0.437 eV per atom. The energy comes out at -2.1442 eV/atom. Its density of states at the Fermi level is 3.786 states/eV per cell.

VASP calculation (PBE) on LiTmMg2Hg4 after structural relaxation.

Cell: 4.910 4.910 8.716 Å, 73.64 73.64 60.00°
Element x y z (fractional)
Li  0.500  0.500  0.500
Tm  0.000  0.000  0.000
Mg  0.752  0.752  0.745
Mg  0.248  0.248  0.255
Hg  0.380  0.380  0.859
Hg  0.872  0.872  0.385
Hg  0.128  0.128  0.615
Hg  0.620  0.620  0.141

Values from the calculation:
Its energy relative to the elements is -0.353 eV per atom. The energy comes out at -1.7006 eV/atom. Its density of states at the Fermi level is 2.951 states/eV per cell.

VASP calculation (PBE) on Li2TmMgHg2 after structural relaxation.

Cell: 4.707 4.707 6.502 Å, 90.00 90.00 120.00°
Element x y z (fractional)
Li  0.333  0.667  0.689
Li  0.667  0.333  0.311
Tm  0.000  0.000  0.000
Mg  0.000  0.000  0.500
Hg  0.333  0.667  0.242
Hg  0.667  0.333  0.758

Values from the calculation:
Its energy relative to the elements is -0.323 eV per atom. The energy comes out at -2.0723 eV/atom. Its density of states at the Fermi level is 3.682 states/eV per cell.